VASP calculation (PBE) on an optimized crystal structure of TmAlTlTe3.

Lattice parameters (Å, degrees): 7.985 7.985 11.346 90.00 90.00 147.64
Positions (direct):
Te 0.133 0.867 0.557
Te 0.424 0.576 0.750
Te 0.133 0.867 0.943
Tl 0.264 0.736 0.250
Tl 0.736 0.264 0.750
Tm 0.500 0.500 0.000
Tm 0.500 0.500 0.500
Al 0.969 0.031 0.250
Al 0.031 0.969 0.750
Te 0.867 0.133 0.057
Te 0.576 0.424 0.250
Te 0.867 0.133 0.443

Output
Crystal system   orthorhombic
Excess energy over the best structure of this formula in the dataset   0.0000 eV per atom
Spin magnetization   0.024 Bohr magnetons per cell
Raw total energy   -4.006 eV per atom


VASP calculation (PBE) on an optimized crystal structure of CoAg2Sb.

Lattice parameters (Å, degrees): 4.598 4.598 4.598 60.00 60.00 60.00
Positions (direct):
Ag 0.000 0.000 0.000
Ag 0.750 0.750 0.750
Co 0.250 0.250 0.250
Sb 0.500 0.500 0.500

Output
Crystal system   cubic
Spin magnetization   1.152 Bohr magnetons per cell
Raw total energy   -3.942 eV per atom


VASP calculation (PBE) on an optimized crystal structure of SmBe8Zn4.

Lattice parameters (Å, degrees): 6.227 6.227 6.227 97.52 97.52 137.58
Positions (direct):
Be 0.500 0.000 0.000
Be 0.000 0.500 0.000
Be 0.357 0.000 0.357
Be 0.000 0.357 0.357
Be 0.000 0.000 0.500
Be 0.500 0.500 0.500
Be 0.643 0.000 0.643
Be 0.000 0.643 0.643
Sm 0.000 0.000 0.000
Zn 0.741 0.500 0.241
Zn 0.500 0.741 0.241
Zn 0.500 0.259 0.759
Zn 0.259 0.500 0.759

Output
Crystal system   tetragonal
Excess energy over the best structure of this formula in the dataset   0.0211 eV per atom
Spin magnetization   0.002 Bohr magnetons per cell
Raw total energy   -3.081 eV per atom


VASP calculation (PBE) on an optimized crystal structure of TlP5W3.

Lattice parameters (Å, degrees): 5.350 5.350 7.640 90.00 90.00 120.00
Positions (direct):
P 0.667 0.333 0.239
P 0.333 0.667 0.239
P 0.000 0.000 0.500
P 0.667 0.333 0.761
P 0.333 0.667 0.761
Tl 0.000 0.000 0.000
W 0.500 0.000 0.500
W 0.000 0.500 0.500
W 0.500 0.500 0.500

Output
Crystal system   hexagonal
Spin magnetization   0.015 Bohr magnetons per cell
Raw total energy   -7.380 eV per atom


VASP calculation (PBE) on an optimized crystal structure of Ta2CuSn.

Lattice parameters (Å, degrees): 4.654 4.654 4.654 60.00 60.00 60.00
Positions (direct):
Cu 0.250 0.250 0.250
Sn 0.500 0.500 0.500
Ta 0.000 0.000 0.000
Ta 0.750 0.750 0.750

Output
Crystal system   cubic
Spin magnetization   0.001 Bohr magnetons per cell
Raw total energy   -7.455 eV per atom


VASP calculation (PBE) on an optimized crystal structure of AcTmLu.

Lattice parameters (Å, degrees): 5.605 5.605 5.605 60.00 60.00 60.00
Positions (direct):
Ac 0.000 0.000 0.000
Lu 0.250 0.250 0.250
Tm 0.750 0.750 0.750

Output
Crystal system   cubic
E_form   2.62 eV/f.u.
Excess energy over the best structure of this formula in the dataset   0.1822 eV per atom
Spin magnetization   0.050 Bohr magnetons per cell
Raw total energy   -3.494 eV per atom


VASP calculation (PBE) on an optimized crystal structure of RbCuSe.

Lattice parameters (Å, degrees): 11.431 6.596 5.628 90.00 90.00 90.00
Positions (direct):
Cu 0.500 0.501 0.001
Cu 0.000 0.999 0.001
Cu 0.000 0.001 0.501
Cu 0.500 0.499 0.501
Rb 0.345 0.025 0.250
Rb 0.845 0.475 0.250
Rb 0.155 0.525 0.750
Rb 0.655 0.975 0.750
Se 0.591 0.729 0.252
Se 0.091 0.771 0.252
Se 0.909 0.229 0.752
Se 0.409 0.271 0.752

Output
Crystal system   orthorhombic
Raw total energy   -3.409 eV per atom


VASP calculation (PBE) on an optimized crystal structure of LiSiNi2.

Lattice parameters (Å, degrees): 3.971 3.971 2.696 90.00 90.00 90.00
Positions (direct):
Li 0.500 0.500 0.000
Ni 0.500 0.000 0.500
Ni 0.000 0.500 0.500
Si 0.000 0.000 0.000

Output
Crystal system   tetragonal
Spin magnetization   0.001 Bohr magnetons per cell
Raw total energy   -5.047 eV per atom